(1)
# PmHo7Er4

PmHo7Er4 after structural relaxation (PBE-GGA, the Alexandria database).

Cell and atoms, written as CIF:
```
data_PmHo7Er4
_chemical_formula_sum 'Pm2 Ho14 Er8'
_symmetry_space_group_name_H-M 'C 1 2/m 1'
_symmetry_Int_Tables_number 12
_symmetry_space_group_name_Hall '-C 2y'
_cell_length_a 11.985
_cell_length_b 5.819
_cell_length_c 12.558
_cell_angle_alpha 90.00
_cell_angle_beta 117.96
_cell_angle_gamma 90.00
loop_
_atom_site_label
_atom_site_fract_x
_atom_site_fract_y
_atom_site_fract_z
Pm1 0.000 0.000 0.000
Ho1 0.000 0.500 0.000
Ho2 0.059 0.000 0.329
Ho3 0.135 0.500 0.504
Ho4 0.211 0.000 0.923
Er1 0.133 0.500 0.774
Er2 0.249 0.500 0.315
```

Output
energy above the most stable polymorph in this dataset: 196 meV/atom
ΔH_f (0 K): 0.284 eV per atom


(2)
# Pm3Ho2Er7

Pm3Ho2Er7 after structural relaxation (PBE-GGA, the Alexandria database).

Cell and atoms, written as CIF:
```
data_Pm3Ho2Er7
_chemical_formula_sum 'Pm3 Ho2 Er7'
_symmetry_space_group_name_H-M 'P 1 2/m 1'
_symmetry_Int_Tables_number 10
_symmetry_space_group_name_Hall '-P 2y'
_cell_length_a 5.782
_cell_length_b 3.546
_cell_length_c 18.675
_cell_angle_alpha 90.00
_cell_angle_beta 93.07
_cell_angle_gamma 90.00
loop_
_atom_site_label
_atom_site_fract_x
_atom_site_fract_y
_atom_site_fract_z
Pm1 0.000 0.000 0.000
Pm2 0.279 0.500 0.633
Ho1 0.209 0.000 0.292
Er1 0.190 0.500 0.143
Er2 0.243 0.000 0.462
Er3 0.308 0.000 0.825
Er4 0.500 0.500 0.000
```

Output
energy above the most stable polymorph in this dataset: 0 meV/atom
ΔH_f (0 K): 0.088 eV per atom


(3)
# Pm4Ho8Er

Pm4Ho8Er after structural relaxation (PBE-GGA, the Alexandria database).

Cell and atoms, written as CIF:
```
data_Pm4Ho8Er
_chemical_formula_sum 'Pm12 Ho24 Er3'
_symmetry_space_group_name_H-M 'R -3 m'
_symmetry_Int_Tables_number 166
_symmetry_space_group_name_Hall '-R 3 2"'
_cell_length_a 7.3686
_cell_length_b 7.3686
_cell_length_c 26.9942
_cell_angle_alpha 90.00
_cell_angle_beta 90.00
_cell_angle_gamma 120.00
loop_
_atom_site_label
_atom_site_fract_x
_atom_site_fract_y
_atom_site_fract_z
Pm1 0.0000 0.0000 0.0000
Pm2 0.0000 0.5000 0.0000
Ho1 0.0000 0.0000 0.2166
Ho2 0.0389 0.5194 0.7699
Er1 0.0000 0.0000 0.5000
```

Output
ΔH_f (0 K): 0.214 eV per atom